# Sr5InGa2 | Alexandria | GGA-PBE | optimized geometry
# DOS(E_F): 26.40 states/eV/cell
# E_form: -8.1 kcal/mol of atoms
data_Sr5InGa2
_cell_length_a 8.511
_cell_length_b 8.511
_cell_length_c 16.387
_cell_angle_alpha 90.00
_cell_angle_beta 90.00
_cell_angle_gamma 90.00
_space_group_name_H-M_alt 'I 4/m c m'
_space_group_IT_number 140
_space_group_name_Hall '-I 4 2c'
loop_
_atom_site_label
_atom_site_type_symbol
_atom_site_fract_x
_atom_site_fract_y
_atom_site_fract_z
Sr1 Sr 0.000 0.000 0.000
Sr2 Sr 0.178 0.322 0.142
In1 In 0.000 0.000 0.250
Ga1 Ga 0.104 0.396 0.500